[1]
Entry from Alexandria via LeMat-Bulk: a relaxed structure of TcNi4Au (PBE).

The structure belongs to space group F-43m (No. 216); the cell edges are 6.724, 6.724 and 6.724 Å and the angles 90.00°, 90.00° and 90.00°. The inequivalent atoms are Tc at (0.000, 0.000, 0.000), Ni at (0.125, 0.125, 0.625) and Au at (0.250, 0.250, 0.250).

Its formation energy from the elements is 0.9 eV per formula unit. For the magnetization, the calculation gives 3.900 μB/f.u.



[2]
Entry from Alexandria via LeMat-Bulk: a relaxed structure of MnSiAs2 (PBE).

The structure belongs to space group F-43m (No. 216); the cell edges are 6.472, 6.472 and 6.472 Å and the angles 90.00°, 90.00° and 90.00°. The inequivalent atoms are Mn at (0.000, 0.000, 0.000), Si at (0.250, 0.250, 0.250), As at (0.000, 0.000, 0.500) and As at (0.250, 0.250, 0.750).

For the magnetization, the calculation gives 3.616 μB/f.u. As for the raw formation energy: 498 meV per atom.



[3]
Entry from Alexandria via LeMat-Bulk: a relaxed structure of Tc2HgW (PBE).

The structure belongs to space group R-3m (No. 166, hexagonal axes); the cell edges are 2.8717, 2.8717 and 27.8459 Å and the angles 90.00°, 90.00° and 120.00°. The inequivalent atoms are Tc at (0.0000, 0.0000, 0.2438), Hg at (0.0000, 0.0000, 0.0000) and W at (0.0000, 0.0000, 0.5000).

Its formation energy from the elements is 1.5 eV per formula unit. For the magnetization, the calculation gives 0.000 μB/f.u.



[4]
Entry from Alexandria via LeMat-Bulk: a relaxed structure of VTeAs (PBE).

The structure belongs to space group P-6m2 (No. 187); the cell edges are 4.5521, 4.5521 and 3.3383 Å and the angles 90.00°, 90.00° and 120.00°. The inequivalent atoms are V at (0.0000, 0.0000, 0.0000), Te at (0.3333, 0.6667, 0.0000) and As at (0.6667, 0.3333, 0.5000).

For the magnetization, the calculation gives 0.235 μB/f.u. As for the raw formation energy: 333 meV per atom.



[5]
Entry from Alexandria via LeMat-Bulk: a relaxed structure of Hf6In3Co (PBE).

The structure belongs to space group P2_1/c (No. 14); the cell edges are 5.440, 8.336 and 10.972 Å and the angles 90.00°, 117.95° and 90.00°. The inequivalent atoms are Hf at (0.060, 0.159, 0.459), Hf at (0.360, 0.710, 0.434), Hf at (0.421, 0.078, 0.274), In at (0.000, 0.000, 0.000), In at (0.147, 0.101, 0.767) and Co at (0.500, 0.000, 0.500).

Its formation energy from the elements is 0.1 eV per formula unit. For the magnetization, the calculation gives 0.000 μB/f.u.



[6]
Entry from Alexandria via LeMat-Bulk: a relaxed structure of Fe2SiHW (PBE).

The structure belongs to space group P4/mmm (No. 123); the cell edges are 3.639, 3.639 and 3.969 Å and the angles 90.00°, 90.00° and 90.00°. The inequivalent atoms are Fe at (0.000, 0.500, 0.000), Si at (0.000, 0.000, 0.500), H at (0.500, 0.500, 0.000) and W at (0.500, 0.500, 0.500).

For the magnetization, the calculation gives 3.154 μB/f.u. Its calculated total energy is -7.72 eV/atom.